(1)
Crystalline Co3Sb at its relaxed geometry. Source: Alexandria via LeMat-Bulk, functional GGA-PBE.

abc: 4.743 4.743 4.743
angles: 90.00 90.00 90.00
Positions (direct):
Co: 0.500 0.000 0.750
Co: 0.250 0.500 0.000
Co: 0.000 0.750 0.500
Co: 0.000 0.250 0.500
Co: 0.500 0.000 0.250
Co: 0.750 0.500 0.000
Sb: 0.000 0.000 0.000
Sb: 0.500 0.500 0.500

Values from the calculation:
ΔE_f (raw) in eV per atom: 0.16
Total energy in eV per atom: -6.20
Total magnetization in μB/f.u.: 4.242

---

(2)
Crystalline PmNd14Zr at its relaxed geometry. Source: Alexandria via LeMat-Bulk, functional GGA-PBE.

abc: 7.290 7.290 10.313
angles: 90.00 90.00 90.00
Positions (direct):
Nd: 0.875 0.625 0.500
Nd: 0.119 0.881 0.243
Nd: 0.875 0.125 0.500
Nd: 0.631 0.881 0.757
Nd: 0.631 0.369 0.757
Nd: 0.875 0.625 0.000
Nd: 0.375 0.125 0.500
Nd: 0.119 0.369 0.243
Nd: 0.375 0.625 0.500
Nd: 0.631 0.881 0.243
Nd: 0.119 0.881 0.757
Nd: 0.375 0.125 0.000
Nd: 0.631 0.369 0.243
Nd: 0.119 0.369 0.757
Zr: 0.875 0.125 0.000
Pm: 0.375 0.625 0.000

Values from the calculation:
Total energy in eV per atom: -4.96
Total magnetization in μB/f.u.: 0.001

---

(3)
Crystalline LaSiPt3 at its relaxed geometry. Source: Alexandria via LeMat-Bulk, functional GGA-PBE.

abc: 4.680 4.680 4.680
angles: 90.00 90.00 90.00
Positions (direct):
Pt: 0.500 0.000 0.000
Pt: 0.000 0.000 0.500
Pt: 0.000 0.500 0.000
La: 0.500 0.500 0.500
Si: 0.000 0.000 0.000

Values from the calculation:
ΔE_f (raw) in eV per atom: -0.76
Total energy in eV per atom: -6.46
Total magnetization in μB/f.u.: 0.000

---

(4)
Crystalline PrEr12Th5 at its relaxed geometry. Source: Alexandria via LeMat-Bulk, functional GGA-PBE.

abc: 11.921 10.280 9.688
angles: 118.11 144.36 54.57
Positions (direct):
Th: 0.500 0.000 0.500
Th: 0.668 0.665 0.000
Th: 0.834 0.332 0.500
Th: 0.166 0.668 0.500
Th: 0.332 0.335 0.000
Er: 0.750 0.000 0.085
Er: 0.583 0.334 0.584
Er: 0.082 0.334 0.416
Er: 0.918 0.666 0.584
Er: 0.915 0.666 0.915
Er: 0.419 0.666 0.085
Er: 0.748 0.000 0.413
Er: 0.252 0.000 0.587
Er: 0.581 0.334 0.915
Er: 0.417 0.666 0.416
Er: 0.250 0.000 0.915
Er: 0.085 0.334 0.085
Pr: 0.000 0.000 0.000

Values from the calculation:
Total energy in eV per atom: -5.30
Total magnetization in μB/f.u.: 0.000

---

(5)
Crystalline CsS2I2 at its relaxed geometry. Source: Alexandria via LeMat-Bulk, functional GGA-PBE.

abc: 6.343 6.343 6.570
angles: 61.14 61.14 90.00
Positions (direct):
S: 0.402 0.402 0.197
S: 0.598 0.598 0.803
I: 0.750 0.250 0.500
I: 0.250 0.750 0.500
Cs: 0.000 0.000 0.000

Values from the calculation:
ΔE_f (raw) in eV per atom: -0.40
Total energy in eV per atom: -2.84
Total magnetization in μB/f.u.: 0.001

---

(6)
Crystalline NaTm2Hg at its relaxed geometry. Source: Alexandria via LeMat-Bulk, functional GGA-PBE.

abc: 3.508 3.508 11.840
angles: 81.48 81.48 60.00
Positions (direct):
Tm: 0.901 0.901 0.297
Tm: 0.099 0.099 0.703
Hg: 0.500 0.500 0.500
Na: 0.000 0.000 0.000

Values from the calculation:
Total energy in eV per atom: -2.59
Total magnetization in μB/f.u.: 0.000

---

(7)
Crystalline Pr2SmSb at its relaxed geometry. Source: Alexandria via LeMat-Bulk, functional GGA-PBE.

abc: 4.966 4.924 4.924
angles: 90.00 90.00 90.00
Positions (direct):
Sm: 0.500 0.500 0.500
Pr: 0.000 0.000 0.500
Pr: 0.000 0.500 0.000
Sb: 0.500 0.000 0.000

Values from the calculation:
ΔE_f (raw) in eV per atom: -0.55
Total energy in eV per atom: -5.15
Total magnetization in μB/f.u.: 0.000

---

(8)
Crystalline Y2RhSeO at its relaxed geometry. Source: Alexandria via LeMat-Bulk, functional GGA-PBE.

abc: 4.800 4.047 4.800
angles: 90.00 90.00 90.00
Positions (direct):
Y: 0.000 0.000 0.500
Y: 0.500 0.000 0.000
Rh: 0.000 0.500 0.000
O: 0.000 0.000 0.000
Se: 0.500 0.500 0.500

Values from the calculation:
ΔE_f (raw) in eV per atom: -1.40
Total energy in eV per atom: -7.15
Total magnetization in μB/f.u.: 0.001

---

(9)
Crystalline BaIn4Sn3 at its relaxed geometry. Source: Alexandria via LeMat-Bulk, functional GGA-PBE.

abc: 5.580 5.580 8.153
angles: 90.00 90.00 90.00
Positions (direct):
In: 0.500 0.000 0.816
In: 0.000 0.500 0.816
In: 0.500 0.000 0.184
In: 0.000 0.500 0.184
Sn: 0.000 0.000 0.000
Sn: 0.500 0.500 0.323
Sn: 0.500 0.500 0.677
Ba: 0.000 0.000 0.500

Values from the calculation:
Total energy in eV per atom: -3.29
Total magnetization in μB/f.u.: 0.000

---

(10)
Crystalline AcGa4Ge2 at its relaxed geometry. Source: Alexandria via LeMat-Bulk, functional GGA-PBE.

abc: 4.403 4.675 7.834
angles: 107.36 90.00 90.00
Positions (direct):
Ga: 0.000 0.699 0.397
Ga: 0.500 0.184 0.369
Ga: 0.500 0.816 0.631
Ga: 0.000 0.301 0.603
Ac: 0.000 0.000 0.000
Ge: 0.500 0.415 0.830
Ge: 0.500 0.585 0.170

Values from the calculation:
Total energy in eV per atom: -3.86
Total magnetization in μB/f.u.: 0.000

---

(11)
Crystalline KSi3Pt3 at its relaxed geometry. Source: Alexandria via LeMat-Bulk, functional GGA-PBE.

abc: 6.685 6.685 8.830
angles: 67.76 67.76 60.00
Positions (direct):
K: 0.336 0.336 0.993
K: 0.664 0.664 0.007
Si: 0.537 0.715 0.634
Si: 0.715 0.114 0.634
Si: 0.114 0.537 0.634
Si: 0.285 0.886 0.366
Si: 0.886 0.463 0.366
Si: 0.463 0.285 0.366
Pt: 0.116 0.863 0.673
Pt: 0.652 0.884 0.327
Pt: 0.884 0.137 0.327
Pt: 0.863 0.348 0.673
Pt: 0.137 0.652 0.327
Pt: 0.348 0.116 0.673

Values from the calculation:
ΔE_f (raw) in eV per atom: -0.52
Total energy in eV per atom: -5.59
Total magnetization in μB/f.u.: 0.000

---

(12)
Crystalline CsRbBeCl4 at its relaxed geometry. Source: Alexandria via LeMat-Bulk, functional GGA-PBE.

abc: 6.813 7.128 9.837
angles: 90.00 109.79 90.00
Positions (direct):
Be: 0.173 0.750 0.284
Be: 0.827 0.250 0.716
Cl: 0.013 0.482 0.769
Cl: 0.381 0.750 0.176
Cl: 0.678 0.250 0.495
Cl: 0.322 0.750 0.505
Cl: 0.013 0.018 0.769
Cl: 0.987 0.982 0.231
Cl: 0.619 0.250 0.824
Cl: 0.987 0.518 0.231
Cs: 0.329 0.250 0.094
Cs: 0.671 0.750 0.906
Rb: 0.793 0.750 0.470
Rb: 0.207 0.250 0.530

Values from the calculation:
ΔE_f (raw) in eV per atom: -1.82
Total energy in eV per atom: -3.67
Total magnetization in μB/f.u.: 0.000